Here is a geometry-optimized Sr2Ac3Tl3 structure from Alexandria via LeMat-Bulk. Energies are from PBE.

Energy (eV/atom): -3.073
Energy relative to the elements (eV/f.u.): -1.79

Unit cell a=4.144 b=5.973 c=25.077 alpha=90.00 beta=90.00 gamma=90.00
Space group Immm (No. 71)
One atom of each set of equivalent atoms:
Sr: 0.000 0.000 0.225 (multiplicity 4)
Ac: 0.000 0.000 0.000 (multiplicity 2)
Ac: 0.000 0.500 0.116 (multiplicity 4)
Tl: 0.000 0.000 0.500 (multiplicity 2)
Tl: 0.000 0.500 0.383 (multiplicity 4)


Here is a geometry-optimized SrAc3Tl3 structure from Alexandria via LeMat-Bulk. Energies are from PBE.

Energy (eV/atom): -3.274
Energy relative to the elements (eV/f.u.): -1.81

Unit cell a=11.536 b=11.751 c=8.018 alpha=90.00 beta=90.00 gamma=90.00
Space group Cmmm (No. 65)
One atom of each set of equivalent atoms:
Sr: 0.212 0.000 0.000 (multiplicity 4)
Ac: 0.000 0.225 0.500 (multiplicity 4)
Ac: 0.000 0.283 0.000 (multiplicity 4)
Ac: 0.247 0.500 0.500 (multiplicity 4)
Tl: 0.000 0.500 0.272 (multiplicity 4)
Tl: 0.250 0.250 0.247 (multiplicity 8)


Here is a geometry-optimized Sr4AcTl15 structure from Alexandria via LeMat-Bulk. Energies are from PBE.

Energy (eV/atom): -2.585
Energy relative to the elements (eV/f.u.): -5.38

Unit cell a=4.990 b=4.990 c=25.070 alpha=90.00 beta=90.00 gamma=90.00
Space group P4/mmm (No. 123)
One atom of each set of equivalent atoms:
Sr: 0.000 0.000 0.100 (multiplicity 2)
Sr: 0.000 0.000 0.300 (multiplicity 2)
Ac: 0.000 0.000 0.500 (multiplicity 1)
Tl: 0.000 0.500 0.000 (multiplicity 2)
Tl: 0.000 0.500 0.200 (multiplicity 4)
Tl: 0.000 0.500 0.399 (multiplicity 4)
Tl: 0.500 0.500 0.100 (multiplicity 2)
Tl: 0.500 0.500 0.300 (multiplicity 2)
Tl: 0.500 0.500 0.500 (multiplicity 1)


Here is a geometry-optimized Sr2AcTl structure from Alexandria via LeMat-Bulk. Energies are from PBE.

Energy (eV/atom): -2.635
Energy relative to the elements (eV/f.u.): -0.70

Unit cell a=4.077 b=15.345 c=10.940 alpha=90.00 beta=90.00 gamma=90.00
Space group Cmcm (No. 63)
One atom of each set of equivalent atoms:
Sr: 0.000 0.136 0.058 (multiplicity 8)
Ac: 0.000 0.443 0.250 (multiplicity 4)
Tl: 0.000 0.236 0.750 (multiplicity 4)


Here is a geometry-optimized SrAc2Tl structure from Alexandria via LeMat-Bulk. Energies are from PBE.

Energy (eV/atom): -2.998
Energy relative to the elements (eV/f.u.): 0.27

Unit cell a=5.7900 b=5.7900 c=18.6026 alpha=90.00 beta=90.00 gamma=120.00
Space group R3m (No. 160, hexagonal axes)
One atom of each set of equivalent atoms:
Sr: 0.0000 0.0000 0.0000 (multiplicity 3)
Ac: 0.0000 0.0000 0.2174 (multiplicity 3)
Ac: 0.0000 0.0000 0.4450 (multiplicity 3)
Tl: 0.0000 0.0000 0.8048 (multiplicity 3)


Here is a geometry-optimized Sr2Ac2Tl3 structure from Alexandria via LeMat-Bulk. Energies are from PBE.

Energy (eV/atom): -2.972
Energy relative to the elements (eV/f.u.): -2.13

Unit cell a=5.701 b=5.876 c=9.068 alpha=108.86 beta=108.27 gamma=90.06
Space group P-1 (No. 2)
One atom of each set of equivalent atoms:
Sr: 0.119 0.119 0.238 (multiplicity 2)
Ac: 0.372 0.371 0.744 (multiplicity 2)
Tl: 0.000 0.500 0.000 (multiplicity 1)
Tl: 0.250 0.750 0.500 (multiplicity 2)


Here is a geometry-optimized SrAc3Tl4 structure from Alexandria via LeMat-Bulk. Energies are from PBE.

Energy (eV/atom): -3.305
Energy relative to the elements (eV/f.u.): -2.96

Unit cell a=4.141 b=4.141 c=16.431 alpha=90.00 beta=90.00 gamma=90.00
Space group P4/mmm (No. 123)
One atom of each set of equivalent atoms:
Sr: 0.000 0.000 0.000 (multiplicity 1)
Ac: 0.000 0.000 0.249 (multiplicity 2)
Ac: 0.000 0.000 0.500 (multiplicity 1)
Tl: 0.500 0.500 0.125 (multiplicity 2)
Tl: 0.500 0.500 0.377 (multiplicity 2)


Here is a geometry-optimized SrAc3Tl structure from Alexandria via LeMat-Bulk. Energies are from PBE.

Energy (eV/atom): -3.167
Energy relative to the elements (eV/f.u.): 0.54

Unit cell a=8.8828 b=8.8828 c=6.8677 alpha=90.00 beta=90.00 gamma=120.00
Space group P6_3/mmc (No. 194)
One atom of each set of equivalent atoms:
Sr: 0.3333 0.6667 0.2500 (multiplicity 2)
Ac: 0.1866 0.3732 0.7500 (multiplicity 6)
Tl: 0.0000 0.0000 0.0000 (multiplicity 2)


Here is a geometry-optimized Sr3AcTl2 structure from Alexandria via LeMat-Bulk. Energies are from PBE.

Energy (eV/atom): -2.613
Energy relative to the elements (eV/f.u.): -1.79

Unit cell a=5.592 b=10.523 c=7.980 alpha=90.00 beta=90.00 gamma=90.00
Space group Pmc2_1 (No. 26)
One atom of each set of equivalent atoms:
Sr: 0.000 0.065 0.000 (multiplicity 2)
Sr: 0.000 0.317 0.365 (multiplicity 2)
Sr: 0.500 0.175 0.687 (multiplicity 2)
Ac: 0.500 0.440 0.049 (multiplicity 2)
Tl: 0.000 0.364 0.796 (multiplicity 2)
Tl: 0.500 0.145 0.253 (multiplicity 2)


Here is a geometry-optimized Sr5AcTl6 structure from Alexandria via LeMat-Bulk. Energies are from PBE.

Energy (eV/atom): -2.649
Energy relative to the elements (eV/f.u.): -5.07

Unit cell a=5.808 b=8.208 c=9.193 alpha=90.00 beta=108.18 gamma=90.00
Space group P2/m (No. 10)
One atom of each set of equivalent atoms:
Sr: 0.000 0.000 0.000 (multiplicity 1)
Sr: 0.330 0.500 0.661 (multiplicity 2)
Sr: 0.333 0.000 0.667 (multiplicity 2)
Ac: 0.000 0.500 0.000 (multiplicity 1)
Tl: 0.166 0.248 0.332 (multiplicity 4)
Tl: 0.500 0.250 0.000 (multiplicity 2)


Here is a geometry-optimized Sr2AcTl4 structure from Alexandria via LeMat-Bulk. Energies are from PBE.

Energy (eV/atom): -2.675
Energy relative to the elements (eV/f.u.): -1.79

Unit cell a=5.785 b=5.785 c=15.461 alpha=90.00 beta=90.00 gamma=90.00
Space group I4/mmm (No. 139)
One atom of each set of equivalent atoms:
Sr: 0.000 0.000 0.239 (multiplicity 4)
Ac: 0.000 0.000 0.500 (multiplicity 2)
Tl: 0.000 0.500 0.114 (multiplicity 8)


Here is a geometry-optimized SrAc4Tl7 structure from Alexandria via LeMat-Bulk. Energies are from PBE.

Energy (eV/atom): -3.096
Energy relative to the elements (eV/f.u.): -2.47

Unit cell a=13.941 b=6.076 c=12.540 alpha=90.00 beta=123.38 gamma=90.00
Space group C2/m (No. 12)
One atom of each set of equivalent atoms:
Sr: 0.000 0.000 0.000 (multiplicity 2)
Ac: 0.087 0.500 0.780 (multiplicity 4)
Ac: 0.239 0.500 0.334 (multiplicity 4)
Tl: 0.000 0.500 0.000 (multiplicity 2)
Tl: 0.081 0.000 0.324 (multiplicity 4)
Tl: 0.130 0.500 0.533 (multiplicity 4)
Tl: 0.218 0.000 0.909 (multiplicity 4)


Result set for density: 7.86; 8.44; 9.69; 5.89; 6.88; 7.61; 9.35; 6.89; 6.36; 7.54; 7.83; 9.08 g/cm3, one per record in the order listed.